# Na3Hg4Bi2 | the Alexandria database | GGA-PBE | optimized geometry
# ΔE_f = -0.198 eV per atom
# crystal system = monoclinic
# DOS at the Fermi energy = 7.6 states/eV per cell
data_Na3Hg4Bi2
_chemical_formula_sum 'Na6 Hg8 Bi4'
_cell_length_a 9.016
_cell_length_b 5.457
_cell_length_c 9.995
_cell_angle_alpha 90.00
_cell_angle_beta 95.47
_cell_angle_gamma 90.00
_space_group_name_H-M_alt 'C 1 2/m 1'
_space_group_IT_number 12
_space_group_name_Hall '-C 2y'
loop_
_atom_site_label
_atom_site_type_symbol
_atom_site_fract_x
_atom_site_fract_y
_atom_site_fract_z
Na1 Na 0.000 0.000 0.000
Na2 Na 0.165 0.500 0.415
Hg1 Hg 0.003 0.000 0.652
Hg2 Hg 0.160 0.500 0.095
Bi1 Bi 0.179 0.500 0.757

# NaHg3Bi3 | the Alexandria database | GGA-PBE | optimized geometry
# ΔE_f = 0.168 eV per atom
# crystal system = cubic
# DOS at the Fermi energy = 10.6 states/eV per cell
data_NaHg3Bi3
_chemical_formula_sum 'Na2 Hg6 Bi6'
_cell_length_a 8.305
_cell_length_b 8.305
_cell_length_c 8.305
_cell_angle_alpha 90.00
_cell_angle_beta 90.00
_cell_angle_gamma 90.00
_space_group_name_H-M_alt 'P m -3 n'
_space_group_IT_number 223
_space_group_name_Hall '-P 4n 2 3'
loop_
_atom_site_label
_atom_site_type_symbol
_atom_site_fract_x
_atom_site_fract_y
_atom_site_fract_z
Na1 Na 0.000 0.000 0.000
Hg1 Hg 0.000 0.250 0.500
Bi1 Bi 0.000 0.500 0.250

# Na2Hg8Bi | the Alexandria database | GGA-PBE | optimized geometry
# ΔE_f = -0.110 eV per atom
# crystal system = tetragonal
# DOS at the Fermi energy = 3.1 states/eV per cell
# distance to the lowest polymorph of the same formula = 0.000 eV per atom
data_Na2Hg8Bi
_chemical_formula_sum 'Na2 Hg8 Bi1'
_cell_length_a 5.058
_cell_length_b 5.058
_cell_length_c 11.933
_cell_angle_alpha 90.00
_cell_angle_beta 90.00
_cell_angle_gamma 90.00
_space_group_name_H-M_alt 'P 4/m m m'
_space_group_IT_number 123
_space_group_name_Hall '-P 4 2'
loop_
_atom_site_label
_atom_site_type_symbol
_atom_site_fract_x
_atom_site_fract_y
_atom_site_fract_z
Na1 Na 0.000 0.000 0.173
Hg1 Hg 0.000 0.500 0.000
Hg2 Hg 0.000 0.500 0.343
Hg3 Hg 0.500 0.500 0.181
Bi1 Bi 0.000 0.000 0.500

# Na12Hg6Bi | the Alexandria database | GGA-PBE | optimized geometry
# ΔE_f = -0.186 eV per atom
# crystal system = trigonal
# DOS at the Fermi energy = 20.6 states/eV per cell
# distance to the lowest polymorph of the same formula = 0.027 eV per atom
data_Na12Hg6Bi
_chemical_formula_sum 'Na36 Hg18 Bi3'
_cell_length_a 11.5229
_cell_length_b 11.5229
_cell_length_c 14.3617
_cell_angle_alpha 90.00
_cell_angle_beta 90.00
_cell_angle_gamma 120.00
_space_group_name_H-M_alt 'R -3'
_space_group_IT_number 148
_space_group_name_Hall '-R 3'
loop_
_atom_site_label
_atom_site_type_symbol
_atom_site_fract_x
_atom_site_fract_y
_atom_site_fract_z
Na1 Na 0.0324 0.8407 0.3233
Na2 Na 0.0554 0.2150 0.9101
Hg1 Hg 0.0179 0.5917 0.2113
Bi1 Bi 0.0000 0.0000 0.5000

# Na2Hg8Bi | the Alexandria database | GGA-PBE | optimized geometry
# ΔE_f = -0.091 eV per atom
# crystal system = monoclinic
# DOS at the Fermi energy = 6.8 states/eV per cell
# distance to the lowest polymorph of the same formula = 0.019 eV per atom
data_Na2Hg8Bi
_chemical_formula_sum 'Na4 Hg16 Bi2'
_cell_length_a 9.179
_cell_length_b 13.908
_cell_length_c 6.537
_cell_angle_alpha 90.00
_cell_angle_beta 132.09
_cell_angle_gamma 90.00
_space_group_name_H-M_alt 'C 1 2/m 1'
_space_group_IT_number 12
_space_group_name_Hall '-C 2y'
loop_
_atom_site_label
_atom_site_type_symbol
_atom_site_fract_x
_atom_site_fract_y
_atom_site_fract_z
Na1 Na 0.000 0.173 0.000
Hg1 Hg 0.000 0.240 0.500
Hg2 Hg 0.139 0.381 0.957
Hg3 Hg 0.211 0.500 0.597
Bi1 Bi 0.000 0.000 0.500

# NaHg8Bi6 | the Alexandria database | GGA-PBE | optimized geometry
# ΔE_f = 0.035 eV per atom
# crystal system = trigonal
# DOS at the Fermi energy = 19.1 states/eV per cell
data_NaHg8Bi6
_chemical_formula_sum 'Na3 Hg24 Bi18'
_cell_length_a 9.7301
_cell_length_b 9.7301
_cell_length_c 18.3136
_cell_angle_alpha 90.00
_cell_angle_beta 90.00
_cell_angle_gamma 120.00
_space_group_name_H-M_alt 'R -3'
_space_group_IT_number 148
_space_group_name_Hall '-R 3'
loop_
_atom_site_label
_atom_site_type_symbol
_atom_site_fract_x
_atom_site_fract_y
_atom_site_fract_z
Na1 Na 0.0000 0.0000 0.0000
Hg1 Hg 0.0000 0.0000 0.2281
Hg2 Hg 0.0012 0.3447 0.8380
Bi1 Bi 0.0247 0.3853 0.3378